This record from Alexandria describes Ca2CdCo2 after structural relaxation. The functional is GGA-PBE.

It has space group I4/mmm (No. 139), with a = 3.371 Å, b = 3.371 Å, c = 19.486 Å, α = 90.00°, β = 90.00° and γ = 90.00°. The inequivalent atoms are Ca at (0.000, 0.000, 0.125), Cd at (0.000, 0.000, 0.500) and Co at (0.000, 0.500, 0.250).

Its formation enthalpy at 0 K is 0.5 eV per formula unit.

=====

This record from Alexandria describes CaCd2Co after structural relaxation. The functional is GGA-PBE.

It has space group P4mm (No. 99), with a = 3.450 Å, b = 3.450 Å, c = 7.193 Å, α = 90.00°, β = 90.00° and γ = 90.00°. The inequivalent atoms are Ca at (0.000, 0.000, 0.000), Cd at (0.000, 0.000, 0.574), Cd at (0.500, 0.500, 0.320) and Co at (0.500, 0.500, 0.740).

Its formation enthalpy at 0 K is 0.5 eV per formula unit.

=====

This record from Alexandria describes CaCd2Co2 after structural relaxation. The functional is GGA-PBE.

It has space group I4/mmm (No. 139), with a = 3.328 Å, b = 3.328 Å, c = 18.442 Å, α = 90.00°, β = 90.00° and γ = 90.00°. The inequivalent atoms are Ca at (0.000, 0.000, 0.000), Cd at (0.000, 0.000, 0.371) and Co at (0.000, 0.500, 0.250).

The value obtained for the energy relative to the lowest polymorph listed for this composition is 0 meV/atom. Its formation enthalpy at 0 K is 0.8 eV per formula unit.